# PrZnGa2Ru2 (GGA-PBE, optimized geometry)
data_PrZnGa2Ru2
_chemical_formula_sum 'Pr1 Zn1 Ga2 Ru2'
_cell_length_a 4.607
_cell_length_b 4.607
_cell_length_c 5.560
_cell_angle_alpha 90.00
_cell_angle_beta 90.00
_cell_angle_gamma 90.00
_space_group_name_H-M_alt 'P 1'
_space_group_IT_number 1
loop_
_space_group_symop_operation_xyz
'x,y,z'
loop_
_atom_site_label
_atom_site_fract_x
_atom_site_fract_y
_atom_site_fract_z
Pr1 0.000 0.000 0.000
Zn1 0.000 0.000 0.500
Ga1 0.500 0.500 0.253
Ga2 0.500 0.500 0.747
Ru1 0.000 0.500 0.500
Ru2 0.500 0.000 0.500
# formation energy from the elements = -0.5 eV per formula unit
# calculated volume = 19.670 A^3/atom
# space-group type = P4/mmm, No. 123

=====

# BeIn3Rh (GGA-PBE, optimized geometry)
data_BeIn3Rh
_chemical_formula_sum 'Be1 In3 Rh1'
_cell_length_a 5.140
_cell_length_b 5.140
_cell_length_c 5.140
_cell_angle_alpha 90.00
_cell_angle_beta 90.00
_cell_angle_gamma 90.00
_space_group_name_H-M_alt 'P 1'
_space_group_IT_number 1
loop_
_space_group_symop_operation_xyz
'x,y,z'
loop_
_atom_site_label
_atom_site_fract_x
_atom_site_fract_y
_atom_site_fract_z
Be1 0.000 0.000 0.000
In1 0.000 0.500 0.500
In2 0.500 0.000 0.500
In3 0.500 0.500 0.000
Rh1 0.500 0.500 0.500
# formation energy from the elements = 2.0 eV per formula unit
# energy above the most stable polymorph in this dataset = 0.000 eV/atom
# calculated volume = 27.166 A^3/atom
# space-group type = Pm-3m, No. 221

=====

# Tm4As2C (GGA-PBE, optimized geometry)
data_Tm4As2C
_chemical_formula_sum 'Tm8 As4 C2'
_cell_length_a 7.048
_cell_length_b 11.266
_cell_length_c 3.941
_cell_angle_alpha 90.00
_cell_angle_beta 90.00
_cell_angle_gamma 90.00
_space_group_name_H-M_alt 'P 1'
_space_group_IT_number 1
loop_
_space_group_symop_operation_xyz
'x,y,z'
loop_
_atom_site_label
_atom_site_fract_x
_atom_site_fract_y
_atom_site_fract_z
Tm1 0.126 0.194 0.000
Tm2 0.214 0.947 0.500
Tm3 0.286 0.447 0.500
Tm4 0.374 0.694 0.000
Tm5 0.626 0.306 0.000
Tm6 0.714 0.553 0.500
Tm7 0.786 0.053 0.500
Tm8 0.874 0.806 0.000
As1 0.084 0.679 0.500
As2 0.416 0.179 0.500
As3 0.584 0.821 0.500
As4 0.916 0.321 0.500
C1 0.000 0.000 0.000
C2 0.500 0.500 0.000
# formation energy from the elements = -6.7 eV per formula unit
# calculated volume = 22.351 A^3/atom
# space-group type = Pbam, No. 55

=====

# BaAgRu2O8 (GGA-PBE, optimized geometry)
data_BaAgRu2O8
_chemical_formula_sum 'Ba1 Ag1 Ru2 O8'
_cell_length_a 5.450
_cell_length_b 5.450
_cell_length_c 8.138
_cell_angle_alpha 93.61
_cell_angle_beta 93.61
_cell_angle_gamma 69.09
_space_group_name_H-M_alt 'P 1'
_space_group_IT_number 1
loop_
_space_group_symop_operation_xyz
'x,y,z'
loop_
_atom_site_label
_atom_site_fract_x
_atom_site_fract_y
_atom_site_fract_z
Ba1 0.000 0.000 0.000
Ag1 0.000 0.000 0.500
Ru1 0.377 0.377 0.728
Ru2 0.623 0.623 0.272
O1 0.243 0.728 0.726
O2 0.247 0.247 0.554
O3 0.272 0.757 0.274
O4 0.291 0.291 0.919
O5 0.709 0.709 0.081
O6 0.728 0.243 0.726
O7 0.753 0.753 0.446
O8 0.757 0.272 0.274
# E_form (uncorrected) = -102 kJ per mole of atoms
# calculated volume = 18.764 A^3/atom
# space-group type = C2/m, No. 12